Entry 1:
The following is a PBE calculation of a relaxed structure of Pu3Mn2Ru, from the Alexandria database.

Its crystal system is orthorhombic. The calculated formation energy is 0.394 eV per atom.

It has space group Imma (No. 74), with a = 7.463 Å, b = 7.968 Å, c = 6.944 Å, α = 90.00°, β = 90.00° and γ = 90.00°. The inequivalent atoms are Pu at (0.000, 0.000, 0.000), Pu at (0.250, 0.077, 0.250), Mn at (0.168, 0.250, 0.895) and Ru at (0.000, 0.250, 0.578).

Entry 2:
The following is a PBE calculation of a relaxed structure of Pu7MnRu4, from the Alexandria database.

Its crystal system is monoclinic. The calculated formation energy is 0.226 eV per atom.

It has space group C2/m (No. 12), with a = 12.140 Å, b = 5.042 Å, c = 8.871 Å, α = 90.00°, β = 121.79° and γ = 90.00°. The inequivalent atoms are Pu at (0.000, 0.000, 0.000), Pu at (0.037, 0.500, 0.714), Pu at (0.244, 0.500, 0.047), Pu at (0.249, 0.000, 0.636), Mn at (0.000, 0.500, 0.000), Ru at (0.006, 0.000, 0.350) and Ru at (0.224, 0.000, 0.280).

Entry 3:
The following is a PBE calculation of a relaxed structure of Pu3MnRu4, from the Alexandria database.

Its crystal system is monoclinic. The calculated formation energy is -0.094 eV per atom.

It has space group C2/m (No. 12), with a = 8.021 Å, b = 4.636 Å, c = 8.118 Å, α = 90.00°, β = 109.16° and γ = 90.00°. The inequivalent atoms are Pu at (0.000, 0.000, 0.000), Pu at (0.244, 0.000, 0.731), Mn at (0.000, 0.500, 0.500), Ru at (0.121, 0.500, 0.864) and Ru at (0.127, 0.000, 0.381).

Entry 4:
The following is a PBE calculation of a relaxed structure of Pu3MnRu2, from the Alexandria database.

Its crystal system is tetragonal. The calculated formation energy is 0.020 eV per atom.

It has space group P4/mmm (No. 123), with a = 3.384 Å, b = 3.384 Å, c = 10.041 Å, α = 90.00°, β = 90.00° and γ = 90.00°. The inequivalent atoms are Pu at (0.000, 0.000, 0.000), Pu at (0.000, 0.000, 0.339), Mn at (0.500, 0.500, 0.500) and Ru at (0.500, 0.500, 0.175).

Entry 5:
The following is a PBE calculation of a relaxed structure of Pu2MnRu, from the Alexandria database.

Its crystal system is tetragonal. The calculated formation energy is -0.018 eV per atom.

It has space group P4/mmm (No. 123), with a = 3.476 Å, b = 3.476 Å, c = 6.311 Å, α = 90.00°, β = 90.00° and γ = 90.00°. The inequivalent atoms are Pu at (0.000, 0.000, 0.248), Mn at (0.500, 0.500, 0.000) and Ru at (0.500, 0.500, 0.500).

Entry 6:
The following is a PBE calculation of a relaxed structure of Pu4MnRu2, from the Alexandria database.

Its crystal system is tetragonal. The calculated formation energy is 0.006 eV per atom.

It has space group I-42d (No. 122), with a = 8.416 Å, b = 8.416 Å, c = 8.248 Å, α = 90.00°, β = 90.00° and γ = 90.00°. The inequivalent atoms are Pu at (0.068, 0.682, 0.444), Mn at (0.000, 0.000, 0.500) and Ru at (0.130, 0.750, 0.125).

Entry 7:
The following is a PBE calculation of a relaxed structure of Pu2Mn3Ru, from the Alexandria database.

Its crystal system is monoclinic. The calculated formation energy is -0.043 eV per atom.

It has space group C2/m (No. 12), with a = 8.724 Å, b = 5.300 Å, c = 5.096 Å, α = 90.00°, β = 122.33° and γ = 90.00°. The inequivalent atoms are Pu at (0.126, 0.000, 0.375), Mn at (0.000, 0.500, 0.500), Mn at (0.250, 0.250, 0.000) and Ru at (0.000, 0.500, 0.000).

Entry 8:
The following is a PBE calculation of a relaxed structure of Pu6Mn2Ru, from the Alexandria database.

Its crystal system is trigonal. The calculated formation energy is 0.177 eV per atom.

It has space group P-31m (No. 162), with a = 7.5161 Å, b = 7.5161 Å, c = 2.8062 Å, α = 90.00°, β = 90.00° and γ = 120.00°. The inequivalent atoms are Pu at (0.0000, 0.3425, 0.4060), Mn at (0.3333, 0.6667, 0.0000) and Ru at (0.0000, 0.0000, 0.0000).

Entry 9:
The following is a PBE calculation of a relaxed structure of PuMnRu, from the Alexandria database.

Its crystal system is orthorhombic. For the energy above the most stable polymorph in this dataset, the calculation gives 0 meV per atom. The calculated formation energy is -0.123 eV per atom.

It has space group Imma (No. 74), with a = 5.501 Å, b = 5.520 Å, c = 6.728 Å, α = 90.00°, β = 90.00° and γ = 90.00°. The inequivalent atoms are Pu at (0.000, 0.250, 0.121), Mn at (0.000, 0.000, 0.500) and Ru at (0.250, 0.250, 0.750).

Entry 10:
The following is a PBE calculation of a relaxed structure of PuMn2Ru, from the Alexandria database.

Its crystal system is tetragonal. The calculated formation energy is 0.001 eV per atom.

It has space group P4/mmm (No. 123), with a = 3.933 Å, b = 3.933 Å, c = 4.147 Å, α = 90.00°, β = 90.00° and γ = 90.00°. The inequivalent atoms are Pu at (0.000, 0.000, 0.000), Mn at (0.000, 0.500, 0.500) and Ru at (0.500, 0.500, 0.000).

Entry 11:
The following is a PBE calculation of a relaxed structure of Pu2MnRu, from the Alexandria database.

Its crystal system is monoclinic. The calculated formation energy is -0.038 eV per atom.

It has space group C2/m (No. 12), with a = 10.032 Å, b = 6.349 Å, c = 4.779 Å, α = 90.00°, β = 90.22° and γ = 90.00°. The inequivalent atoms are Pu at (0.108, 0.250, 0.249), Mn at (0.159, 0.000, 0.749) and Ru at (0.159, 0.500, 0.749).

Entry 12:
The following is a PBE calculation of a relaxed structure of Pu3MnRu, from the Alexandria database.

Its crystal system is trigonal. The calculated formation energy is 0.482 eV per atom.

It has space group R-3 (No. 148, hexagonal axes), with a = 5.6413 Å, b = 5.6413 Å, c = 17.9992 Å, α = 90.00°, β = 90.00° and γ = 120.00°. The inequivalent atoms are Pu at (0.0300, 0.5533, 0.3833), Mn at (0.0000, 0.0000, 0.1378) and Ru at (0.0000, 0.0000, 0.4332).

no.,magnetization (μB per cell),calculated density (g cm⁻³),VASP energy (eV per atom)
1,23.20,15.17,-11.375
2,45.30,15.59,-11.991
3,15.96,13.87,-11.253
4,2.46,14.29,-11.766
5,7.16,14.02,-11.796
6,68.68,14.02,-12.144
7,4.65,12.57,-10.952
8,0.00,20.26,-12.446
9,8.00,13.00,-11.049
10,3.21,11.77,-10.485
11,27.25,14.05,-11.815
12,0.00,17.84,-11.806